# 1
BeAsAu2 after structural relaxation, computed with PBE.

a = 5.535 Å, b = 9.454 Å, c = 3.096 Å
α = 90.00°, β = 122.87°, γ = 90.00°
Space group C2/m (No. 12)
Unique sites:
Be1 0.000 0.000 0.000 (multiplicity 2)
As1 0.000 0.500 0.000 (multiplicity 2)
Au1 0.250 0.250 0.000 (multiplicity 4)

Values from the calculation:
**Total energy**: -27.39 eV for the cell shown
**Volume**: 68.05 Å³/f.u.
**ΔE_f**: 309 meV per atom
**Offset from the most stable computed form**: 264 meV/atom
**N(E_F)**: 0.28 states/eV per atom

# 2
BeAsAu2 after structural relaxation, computed with PBE.

a = 4.077 Å, b = 4.077 Å, c = 3.971 Å
α = 90.00°, β = 90.00°, γ = 90.00°
Space group P4/mmm (No. 123)
Unique sites:
Be1 0.000 0.000 0.000 (multiplicity 1)
As1 0.500 0.500 0.000 (multiplicity 1)
Au1 0.000 0.500 0.500 (multiplicity 2)

Values from the calculation:
**Total energy**: -13.95 eV for the cell shown
**Volume**: 66.01 Å³/f.u.
**ΔE_f**: 246 meV per atom
**Offset from the most stable computed form**: 201 meV/atom
**N(E_F)**: 0.24 states/eV per atom

# 3
Be2As2Au after structural relaxation, computed with PBE.

a = 4.322 Å, b = 11.845 Å, c = 12.715 Å
α = 90.00°, β = 90.00°, γ = 90.00°
Space group Fddd (No. 70, origin choice 2)
Unique sites:
Be1 0.125 0.025 0.125 (multiplicity 16)
As1 0.125 0.125 0.290 (multiplicity 16)
Au1 0.125 0.125 0.625 (multiplicity 8)

Values from the calculation:
**Total energy**: -153.09 eV for the cell shown
**Volume**: 81.37 Å³/f.u.
**ΔE_f**: 178 meV per atom
**N(E_F)**: 0.36 states/eV per atom

# 4
BeAsAu2 after structural relaxation, computed with PBE.

a = 6.470 Å, b = 6.470 Å, c = 6.470 Å
α = 90.00°, β = 90.00°, γ = 90.00°
Space group F-43m (No. 216)
Unique sites:
Be1 0.000 0.000 0.000 (multiplicity 4)
As1 0.250 0.250 0.750 (multiplicity 4)
Au1 0.000 0.000 0.500 (multiplicity 4)
Au2 0.250 0.250 0.250 (multiplicity 4)

Values from the calculation:
**Total energy**: -53.44 eV for the cell shown
**Volume**: 67.71 Å³/f.u.
**ΔE_f**: 393 meV per atom
**Offset from the most stable computed form**: 349 meV/atom
**N(E_F)**: 0.75 states/eV per atom

# 5
BeAsAu2 after structural relaxation, computed with PBE.

a = 2.808 Å, b = 4.117 Å, c = 11.724 Å
α = 90.00°, β = 90.00°, γ = 90.00°
Space group Imm2 (No. 44)
Unique sites:
Be1 0.000 0.000 0.000 (multiplicity 2)
As1 0.000 0.500 0.684 (multiplicity 2)
Au1 0.000 0.000 0.515 (multiplicity 2)
Au2 0.000 0.500 0.330 (multiplicity 2)

Values from the calculation:
**Total energy**: -29.41 eV for the cell shown
**Volume**: 67.79 Å³/f.u.
**ΔE_f**: 56 meV per atom
**Offset from the most stable computed form**: 12 meV/atom
**N(E_F)**: 0.40 states/eV per atom

# 6
BeAsAu2 after structural relaxation, computed with PBE.

a = 2.846 Å, b = 2.846 Å, c = 8.028 Å
α = 90.00°, β = 90.00°, γ = 90.00°
Space group P4/mmm (No. 123)
Unique sites:
Be1 0.000 0.000 0.000 (multiplicity 1)
As1 0.000 0.000 0.500 (multiplicity 1)
Au1 0.500 0.500 0.192 (multiplicity 2)

Values from the calculation:
**Total energy**: -14.75 eV for the cell shown
**Volume**: 65.03 Å³/f.u.
**ΔE_f**: 44 meV per atom
**Offset from the most stable computed form**: 0 meV/atom
**N(E_F)**: 0.41 states/eV per atom

# 7
BeAs2Au after structural relaxation, computed with PBE.

a = 2.778 Å, b = 3.313 Å, c = 7.612 Å
α = 90.00°, β = 100.27°, γ = 90.00°
Space group Pm (No. 6)
Unique sites:
Be1 0.000 0.000 0.000 (multiplicity 1)
As1 0.738 0.000 0.472 (multiplicity 1)
As2 0.872 0.500 0.745 (multiplicity 1)
Au1 0.583 0.500 0.161 (multiplicity 1)

Values from the calculation:
**Total energy**: -15.75 eV for the cell shown
**Volume**: 68.94 Å³/f.u.
**ΔE_f**: 139 meV per atom
**N(E_F)**: 0.18 states/eV per atom

# 8
BeAsAu2 after structural relaxation, computed with PBE.

a = 5.594 Å, b = 6.425 Å, c = 3.692 Å
α = 90.00°, β = 90.00°, γ = 90.00°
Space group Cmmm (No. 65)
Unique sites:
Be1 0.000 0.000 0.000 (multiplicity 2)
As1 0.000 0.500 0.000 (multiplicity 2)
Au1 0.250 0.250 0.500 (multiplicity 4)

Values from the calculation:
**Total energy**: -27.85 eV for the cell shown
**Volume**: 66.34 Å³/f.u.
**ΔE_f**: 251 meV per atom
**Offset from the most stable computed form**: 207 meV/atom
**N(E_F)**: 0.24 states/eV per atom

# 9
BeAsAu2 after structural relaxation, computed with PBE.

a = 7.834 Å, b = 2.971 Å, c = 5.990 Å
α = 90.00°, β = 104.31°, γ = 90.00°
Space group C2/m (No. 12)
Unique sites:
Be1 0.000 0.000 0.000 (multiplicity 2)
As1 0.000 0.500 0.500 (multiplicity 2)
Au1 0.219 0.500 0.202 (multiplicity 4)

Values from the calculation:
**Total energy**: -29.23 eV for the cell shown
**Volume**: 67.54 Å³/f.u.
**ΔE_f**: 79 meV per atom
**Offset from the most stable computed form**: 34 meV/atom
**N(E_F)**: 0.26 states/eV per atom

# 10
BeAsAu2 after structural relaxation, computed with PBE.

a = 6.419 Å, b = 6.419 Å, c = 6.419 Å
α = 90.00°, β = 90.00°, γ = 90.00°
Space group Fm-3m (No. 225)
Unique sites:
Be1 0.000 0.000 0.000 (multiplicity 4)
As1 0.000 0.000 0.500 (multiplicity 4)
Au1 0.250 0.250 0.250 (multiplicity 8)

Values from the calculation:
**Total energy**: -54.24 eV for the cell shown
**Volume**: 66.12 Å³/f.u.
**ΔE_f**: 342 meV per atom
**Offset from the most stable computed form**: 298 meV/atom
**N(E_F)**: 1.02 states/eV per atom

# 11
BeAsAu2 after structural relaxation, computed with PBE.

a = 4.005 Å, b = 4.005 Å, c = 8.205 Å
α = 90.00°, β = 90.00°, γ = 90.00°
Space group I4/mmm (No. 139)
Unique sites:
Be1 0.000 0.000 0.000 (multiplicity 2)
As1 0.000 0.000 0.500 (multiplicity 2)
Au1 0.000 0.500 0.250 (multiplicity 4)

Values from the calculation:
**Total energy**: -27.72 eV for the cell shown
**Volume**: 65.81 Å³/f.u.
**ΔE_f**: 268 meV per atom
**Offset from the most stable computed form**: 224 meV/atom
**N(E_F)**: 0.34 states/eV per atom

# 12
BeAsAu4 after structural relaxation, computed with PBE.

a = 7.740 Å, b = 7.740 Å, c = 7.740 Å
α = 90.00°, β = 90.00°, γ = 90.00°
Space group F-43m (No. 216)
Unique sites:
Be1 0.000 0.000 0.000 (multiplicity 4)
As1 0.250 0.250 0.250 (multiplicity 4)
Au1 0.125 0.125 0.625 (multiplicity 16)

Values from the calculation:
**Total energy**: -73.96 eV for the cell shown
**Volume**: 115.93 Å³/f.u.
**ΔE_f**: 499 meV per atom
**N(E_F)**: 0.68 states/eV per atom

Please write out number 10 again, unchanged.
BeAsAu2 after structural relaxation, computed with PBE.

a = 6.419 Å, b = 6.419 Å, c = 6.419 Å
α = 90.00°, β = 90.00°, γ = 90.00°
Space group Fm-3m (No. 225)
Unique sites:
Be1 0.000 0.000 0.000 (multiplicity 4)
As1 0.000 0.000 0.500 (multiplicity 4)
Au1 0.250 0.250 0.250 (multiplicity 8)

Values from the calculation:
**Total energy**: -54.24 eV for the cell shown
**Volume**: 66.12 Å³/f.u.
**ΔE_f**: 342 meV per atom
**Offset from the most stable computed form**: 298 meV/atom
**N(E_F)**: 1.02 states/eV per atom

Q: Which value of N(E_F) does entry 5 give?
A: 0.40 states/eV per atom